Density functional theory data (PBE with a Hubbard U) for crystalline CrAgF2 at its relaxed geometry.

Cell and atoms, written as POSCAR:
```
CrAgF2
1.0
0.000 3.014 3.014
3.014 0.000 3.014
3.014 3.014 0.000
Cr Ag F
1 1 2
direct
0.000 0.000 0.000
0.500 0.500 0.500
0.250 0.250 0.250
0.750 0.750 0.750
```

Values from the calculation:
The value obtained for the total energy is -18.4 eV/cell. The value obtained for the energy relative to the lowest polymorph listed for this composition is 398 meV per atom. As for the symmetry: Fm-3m, No. 225.